Record 1
The following is a PBE calculation of a relaxed VCdIr3 crystal, from Alexandria via LeMat-Bulk.

Calculated values
ΔH_f (0 K): 0.952 eV/atom
final energy: -6.372 eV/atom
space-group type: Pm-3m (221)
density: 12.97 g/cm3

Structure (POSCAR):
```
VCdIr3
1.0
4.558 0.000 0.000
0.000 4.558 0.000
0.000 0.000 4.558
V Cd Ir
1 1 3
Direct
0.000 0.000 0.000
0.500 0.500 0.500
0.000 0.000 0.500
0.000 0.500 0.000
0.500 0.000 0.000
```



Record 2
The following is a PBE calculation of a relaxed VCd3Ir crystal, from Alexandria via LeMat-Bulk.

Calculated values
ΔH_f (0 K): 0.854 eV/atom
final energy: -3.291 eV/atom
space-group type: Pm-3m (221)
density: 7.15 g/cm3

Structure (POSCAR):
```
VCd3Ir
1.0
5.128 0.000 0.000
0.000 5.128 0.000
0.000 0.000 5.128
V Cd Ir
1 3 1
Direct
0.000 0.000 0.000
0.000 0.500 0.500
0.500 0.000 0.500
0.500 0.500 0.000
0.500 0.500 0.500
```



Record 3
The following is a PBE calculation of a relaxed CdIrW2 crystal, from Alexandria via LeMat-Bulk.

Calculated values
ΔH_f (0 K): 0.377 eV/atom
final energy: -8.544 eV/atom
space-group type: Immm (71)
density: 16.96 g/cm3

Structure (POSCAR):
```
CdIrW2
1.0
-1.643 2.184 4.586
1.643 -2.184 4.586
1.643 2.184 -4.586
Cd Ir W
1 1 2
Direct
0.000 0.000 0.000
0.500 0.500 0.000
0.257 0.757 0.500
0.743 0.243 0.500
```



Record 4
The following is a PBE calculation of a relaxed CdIrW2 crystal, from Alexandria via LeMat-Bulk.

Calculated values
ΔH_f (0 K): 0.237 eV/atom
final energy: -8.684 eV/atom
space-group type: R3m (160)
density: 16.65 g/cm3

Structure (POSCAR):
```
CdIrW2
1.0
1.422 0.821 9.575
-1.422 0.821 9.575
0.000 -1.642 9.575
Cd Ir W
1 1 2
Direct
0.000 0.000 0.000
0.247 0.247 0.247
0.507 0.507 0.507
0.756 0.756 0.756
```



Record 5
The following is a PBE calculation of a relaxed CdIrW2 crystal, from Alexandria via LeMat-Bulk.

Calculated values
ΔH_f (0 K): 0.265 eV/atom
final energy: -8.656 eV/atom
space-group type: R-3m (166)
density: 16.82 g/cm3

Structure (POSCAR):
```
CdIrW2
1.0
1.415 0.817 9.575
-1.415 0.817 9.575
0.000 -1.633 9.575
Cd Ir W
1 1 2
Direct
0.000 0.000 0.000
0.500 0.500 0.500
0.244 0.244 0.244
0.756 0.756 0.756
```



Record 6
The following is a PBE calculation of a relaxed CdIrW2 crystal, from Alexandria via LeMat-Bulk.

Calculated values
ΔH_f (0 K): 0.457 eV/atom
final energy: -8.464 eV/atom
space-group type: F-43m (216)
density: 16.88 g/cm3

Structure (POSCAR):
```
CdIrW2
1.0
0.000 3.210 3.210
3.210 0.000 3.210
3.210 3.210 0.000
Cd Ir W
1 1 2
Direct
0.000 0.000 0.000
0.250 0.250 0.250
0.500 0.500 0.500
0.750 0.750 0.750
```